The following is a DFT calculation (PBEsol) of crystalline Li2NiP3O10 at its relaxed geometry.

Cell lengths 4.570, 8.332, 9.132 Å; angles 90.00, 98.33, 90.00 degrees
Fractional coordinates of all 32 atoms:
Li: 0.019 0.077 0.360
Li: 0.019 0.423 0.360
Li: 0.981 0.577 0.640
Li: 0.981 0.923 0.640
Ni: 0.000 0.000 0.000
Ni: 0.000 0.500 0.000
P: 0.312 0.250 0.832
P: 0.416 0.750 0.469
P: 0.462 0.250 0.136
P: 0.538 0.750 0.864
P: 0.584 0.250 0.531
P: 0.688 0.750 0.168
O: 0.133 0.095 0.838
O: 0.133 0.405 0.838
O: 0.231 0.600 0.469
O: 0.231 0.900 0.469
O: 0.259 0.750 0.758
O: 0.270 0.097 0.138
O: 0.270 0.403 0.138
O: 0.295 0.250 0.428
O: 0.432 0.750 0.029
O: 0.479 0.250 0.700
O: 0.521 0.750 0.300
O: 0.568 0.250 0.971
O: 0.705 0.750 0.572
O: 0.730 0.597 0.862
O: 0.730 0.903 0.862
O: 0.741 0.250 0.242
O: 0.769 0.100 0.531
O: 0.769 0.400 0.531
O: 0.867 0.595 0.162
O: 0.867 0.905 0.162

* Fermi-level density of states: 6.11 states/eV/f.u.
* total DFT energy (no corrections): -6.942 eV/atom
* raw formation energy: -1944.2 meV per atom



The following is a DFT calculation (PBEsol) of crystalline Li3Ni2P5O16 at its relaxed geometry.

Cell lengths 4.930, 6.755, 17.931 Å; angles 90.00, 92.23, 90.00 degrees
Fractional coordinates of all 52 atoms:
Li: 0.000 0.012 0.250
Li: 0.000 0.988 0.750
Li: 0.237 0.323 0.967
Li: 0.237 0.677 0.467
Li: 0.763 0.323 0.533
Li: 0.763 0.677 0.033
Ni: 0.235 0.178 0.410
Ni: 0.235 0.822 0.910
Ni: 0.765 0.178 0.090
Ni: 0.765 0.822 0.590
P: 0.236 0.465 0.124
P: 0.236 0.535 0.624
P: 0.276 0.123 0.584
P: 0.276 0.877 0.084
P: 0.500 0.238 0.250
P: 0.500 0.762 0.750
P: 0.724 0.123 0.916
P: 0.724 0.877 0.416
P: 0.764 0.465 0.376
P: 0.764 0.535 0.876
O: 0.066 0.451 0.393
O: 0.066 0.549 0.893
O: 0.117 0.028 0.128
O: 0.117 0.972 0.628
O: 0.121 0.207 0.516
O: 0.121 0.793 0.016
O: 0.300 0.384 0.206
O: 0.300 0.616 0.706
O: 0.308 0.311 0.642
O: 0.308 0.689 0.142
O: 0.322 0.124 0.301
O: 0.322 0.876 0.801
O: 0.418 0.372 0.068
O: 0.418 0.628 0.568
O: 0.428 0.077 0.930
O: 0.428 0.923 0.430
O: 0.572 0.077 0.570
O: 0.572 0.923 0.070
O: 0.582 0.372 0.432
O: 0.582 0.628 0.932
O: 0.678 0.124 0.199
O: 0.678 0.876 0.699
O: 0.692 0.311 0.858
O: 0.692 0.689 0.358
O: 0.700 0.384 0.294
O: 0.700 0.616 0.794
O: 0.879 0.207 0.984
O: 0.879 0.793 0.484
O: 0.883 0.028 0.372
O: 0.883 0.972 0.872
O: 0.934 0.451 0.107
O: 0.934 0.549 0.607

* total DFT energy (no corrections): -7.045 eV/atom
* raw formation energy: -2000.4 meV per atom



The following is a DFT calculation (PBEsol) of crystalline LiNiPO4 at its relaxed geometry.

Cell lengths 5.369, 5.369, 6.391 Å; angles 101.00, 101.00, 50.93 degrees
Fractional coordinates of all 14 atoms:
Li: 0.000 0.000 0.000
Li: 0.984 0.016 0.500
Ni: 0.306 0.433 0.294
Ni: 0.567 0.694 0.706
P: 0.288 0.351 0.776
P: 0.649 0.712 0.224
O: 0.032 0.297 0.690
O: 0.209 0.533 0.998
O: 0.274 0.559 0.622
O: 0.441 0.726 0.378
O: 0.467 0.791 0.002
O: 0.634 0.030 0.774
O: 0.703 0.968 0.310
O: 0.970 0.366 0.226

* Fermi-level density of states: 1.09 states/eV/f.u.
* total DFT energy (no corrections): -6.755 eV/atom
* raw formation energy: -1767.7 meV per atom



The following is a DFT calculation (PBEsol) of crystalline Li2Ni3P4O14 at its relaxed geometry.

Cell lengths 7.178, 7.757, 9.222 Å; angles 90.00, 109.92, 90.00 degrees
Fractional coordinates of all 46 atoms:
Li: 0.206 0.088 0.128
Li: 0.206 0.412 0.628
Li: 0.794 0.588 0.372
Li: 0.794 0.912 0.872
Ni: 0.312 0.126 0.478
Ni: 0.312 0.374 0.978
Ni: 0.500 0.000 0.000
Ni: 0.500 0.500 0.500
Ni: 0.688 0.626 0.022
Ni: 0.688 0.874 0.522
P: 0.093 0.049 0.717
P: 0.093 0.451 0.217
P: 0.383 0.707 0.194
P: 0.383 0.793 0.694
P: 0.617 0.207 0.306
P: 0.617 0.293 0.806
P: 0.907 0.549 0.783
P: 0.907 0.951 0.283
O: 0.117 0.166 0.592
O: 0.117 0.334 0.092
O: 0.120 0.506 0.797
O: 0.120 0.994 0.297
O: 0.175 0.640 0.195
O: 0.175 0.860 0.695
O: 0.221 0.113 0.880
O: 0.221 0.387 0.380
O: 0.348 0.619 0.616
O: 0.348 0.881 0.116
O: 0.463 0.576 0.106
O: 0.463 0.924 0.606
O: 0.485 0.207 0.135
O: 0.485 0.293 0.635
O: 0.515 0.707 0.365
O: 0.515 0.793 0.865
O: 0.537 0.076 0.394
O: 0.537 0.424 0.894
O: 0.652 0.119 0.884
O: 0.652 0.381 0.384
O: 0.779 0.613 0.620
O: 0.779 0.887 0.120
O: 0.825 0.140 0.305
O: 0.825 0.360 0.805
O: 0.880 0.006 0.703
O: 0.880 0.494 0.203
O: 0.883 0.666 0.908
O: 0.883 0.834 0.408

* total DFT energy (no corrections): -7.024 eV/atom
* raw formation energy: -1847.2 meV per atom



The following is a DFT calculation (PBEsol) of crystalline LiNiPO4 at its relaxed geometry.

Cell lengths 5.563, 5.563, 5.563 Å; angles 120.70, 118.84, 90.40 degrees
Fractional coordinates of all 14 atoms:
Li: 0.500 0.000 0.000
Li: 0.500 0.500 0.500
Ni: 0.000 0.000 0.000
Ni: 0.500 0.000 0.500
P: 0.118 0.368 0.750
P: 0.882 0.632 0.250
O: 0.218 0.741 0.477
O: 0.236 0.259 0.977
O: 0.239 0.259 0.520
O: 0.239 0.719 0.980
O: 0.761 0.281 0.020
O: 0.761 0.741 0.480
O: 0.764 0.741 0.023
O: 0.782 0.259 0.523

* total DFT energy (no corrections): -6.799 eV/atom
* raw formation energy: -1811.8 meV per atom



The following is a DFT calculation (PBEsol) of crystalline LiNiPO4 at its relaxed geometry.

Cell lengths 7.271, 7.271, 9.336 Å; angles 90.00, 90.00, 120.00 degrees
Fractional coordinates of all 42 atoms:
Li: 0.052 0.260 0.000
Li: 0.208 0.948 0.000
Li: 0.260 0.052 0.500
Li: 0.740 0.792 0.000
Li: 0.792 0.740 0.500
Li: 0.948 0.208 0.500
Ni: 0.068 0.592 0.776
Ni: 0.408 0.475 0.776
Ni: 0.475 0.408 0.276
Ni: 0.525 0.932 0.776
Ni: 0.592 0.068 0.276
Ni: 0.932 0.525 0.276
P: 0.000 0.000 0.249
P: 0.000 0.000 0.749
P: 0.333 0.667 0.082
P: 0.333 0.667 0.474
P: 0.667 0.333 0.582
P: 0.667 0.333 0.974
O: 0.000 0.000 0.085
O: 0.000 0.000 0.585
O: 0.106 0.875 0.809
O: 0.108 0.503 0.427
O: 0.125 0.230 0.809
O: 0.154 0.706 0.130
O: 0.230 0.125 0.309
O: 0.294 0.448 0.130
O: 0.333 0.667 0.646
O: 0.333 0.667 0.909
O: 0.395 0.892 0.427
O: 0.448 0.294 0.630
O: 0.497 0.605 0.427
O: 0.503 0.108 0.927
O: 0.552 0.846 0.130
O: 0.605 0.497 0.927
O: 0.667 0.333 0.146
O: 0.667 0.333 0.409
O: 0.706 0.154 0.630
O: 0.770 0.894 0.809
O: 0.846 0.552 0.630
O: 0.875 0.106 0.309
O: 0.892 0.395 0.927
O: 0.894 0.770 0.309

* total DFT energy (no corrections): -6.780 eV/atom
* raw formation energy: -1792.0 meV per atom



The following is a DFT calculation (PBEsol) of crystalline LiNiPO4 at its relaxed geometry.

Cell lengths 7.863, 5.194, 8.334 Å; angles 90.00, 104.51, 90.00 degrees
Fractional coordinates of all 28 atoms:
Li: 0.000 0.163 0.000
Li: 0.000 0.837 0.500
Li: 0.531 0.330 0.701
Li: 0.531 0.670 0.201
Ni: 0.410 0.157 0.314
Ni: 0.410 0.843 0.814
Ni: 0.914 0.322 0.632
Ni: 0.914 0.678 0.132
P: 0.278 0.357 0.944
P: 0.278 0.643 0.444
P: 0.774 0.177 0.250
P: 0.774 0.823 0.750
O: 0.088 0.352 0.836
O: 0.088 0.648 0.336
O: 0.254 0.230 0.106
O: 0.254 0.770 0.606
O: 0.355 0.369 0.483
O: 0.355 0.631 0.983
O: 0.403 0.202 0.863
O: 0.403 0.798 0.363
O: 0.608 0.326 0.261
O: 0.608 0.674 0.761
O: 0.729 0.105 0.690
O: 0.729 0.895 0.190
O: 0.855 0.316 0.122
O: 0.855 0.684 0.622
O: 0.905 0.168 0.423
O: 0.905 0.832 0.923

* Fermi-level density of states: 2.59 states/eV/f.u.
* total DFT energy (no corrections): -6.744 eV/atom
* raw formation energy: -1756.6 meV per atom



The following is a DFT calculation (PBEsol) of crystalline LiNi4P3O12 at its relaxed geometry.

Cell lengths 10.161, 10.161, 10.161 Å; angles 142.56, 142.56, 53.98 degrees
Fractional coordinates of all 40 atoms:
Li: 0.000 0.000 0.000
Li: 0.750 0.250 0.500
Ni: 0.023 0.523 0.500
Ni: 0.129 0.625 0.004
Ni: 0.273 0.273 0.000
Ni: 0.375 0.379 0.504
Ni: 0.477 0.977 0.500
Ni: 0.621 0.125 0.996
Ni: 0.727 0.727 0.000
Ni: 0.875 0.871 0.496
P: 0.023 0.125 0.398
P: 0.250 0.750 0.500
P: 0.375 0.977 0.102
P: 0.500 0.500 0.000
P: 0.727 0.625 0.602
P: 0.875 0.273 0.898
O: 0.008 0.757 0.353
O: 0.049 0.374 0.214
O: 0.124 0.299 0.714
O: 0.160 0.835 0.786
O: 0.165 0.951 0.325
O: 0.243 0.596 0.251
O: 0.342 0.060 0.286
O: 0.345 0.992 0.749
O: 0.346 0.493 0.751
O: 0.404 0.655 0.647
O: 0.405 0.654 0.147
O: 0.408 0.194 0.218
O: 0.507 0.258 0.853
O: 0.585 0.410 0.286
O: 0.590 0.876 0.175
O: 0.626 0.840 0.675
O: 0.701 0.415 0.825
O: 0.742 0.595 0.249
O: 0.773 0.056 0.714
O: 0.806 0.023 0.214
O: 0.810 0.592 0.786
O: 0.940 0.227 0.282
O: 0.944 0.658 0.718
O: 0.977 0.190 0.782

* total DFT energy (no corrections): -6.942 eV/atom
* raw formation energy: -1594.0 meV per atom



The following is a DFT calculation (PBEsol) of crystalline LiNiPO4 at its relaxed geometry.

Cell lengths 4.213, 14.019, 4.719 Å; angles 90.00, 90.00, 90.00 degrees
Fractional coordinates of all 28 atoms:
Li: 0.000 0.249 0.250
Li: 0.000 0.751 0.750
Li: 0.500 0.251 0.750
Li: 0.500 0.749 0.250
Ni: 0.000 0.062 0.750
Ni: 0.000 0.938 0.250
Ni: 0.500 0.438 0.250
Ni: 0.500 0.562 0.750
P: 0.000 0.391 0.750
P: 0.000 0.609 0.250
P: 0.500 0.109 0.250
P: 0.500 0.891 0.750
O: 0.187 0.330 0.532
O: 0.187 0.670 0.032
O: 0.244 0.453 0.913
O: 0.244 0.547 0.413
O: 0.256 0.047 0.413
O: 0.256 0.953 0.913
O: 0.313 0.170 0.032
O: 0.313 0.830 0.532
O: 0.687 0.170 0.468
O: 0.687 0.830 0.968
O: 0.744 0.047 0.087
O: 0.744 0.953 0.587
O: 0.756 0.453 0.587
O: 0.756 0.547 0.087
O: 0.813 0.330 0.968
O: 0.813 0.670 0.468

* total DFT energy (no corrections): -6.774 eV/atom
* raw formation energy: -1786.2 meV per atom



The following is a DFT calculation (PBEsol) of crystalline Li2NiP5O15 at its relaxed geometry.

Cell lengths 7.181, 7.181, 13.192 Å; angles 97.91, 97.91, 119.17 degrees
Fractional coordinates of all 46 atoms:
Li: 0.020 0.980 0.500
Li: 0.660 0.987 0.082
Li: 0.980 0.020 0.000
Li: 0.987 0.660 0.582
Ni: 0.370 0.661 0.416
Ni: 0.661 0.370 0.916
P: 0.080 0.362 0.870
P: 0.155 0.414 0.182
P: 0.235 0.870 0.145
P: 0.362 0.080 0.370
P: 0.414 0.155 0.682
P: 0.511 0.585 0.630
P: 0.537 0.723 0.852
P: 0.585 0.511 0.130
P: 0.723 0.537 0.352
P: 0.870 0.235 0.645
O: 0.016 0.470 0.649
O: 0.055 0.840 0.063
O: 0.155 0.255 0.939
O: 0.161 0.447 0.300
O: 0.195 0.627 0.147
O: 0.195 0.947 0.259
O: 0.214 0.953 0.616
O: 0.255 0.155 0.439
O: 0.285 0.573 0.850
O: 0.348 0.593 0.544
O: 0.356 0.384 0.163
O: 0.384 0.356 0.663
O: 0.447 0.161 0.800
O: 0.456 0.942 0.405
O: 0.470 0.016 0.149
O: 0.528 0.749 0.733
O: 0.573 0.285 0.350
O: 0.593 0.348 0.044
O: 0.611 0.667 0.372
O: 0.627 0.195 0.647
O: 0.631 0.723 0.110
O: 0.637 0.943 0.925
O: 0.667 0.611 0.872
O: 0.723 0.631 0.610
O: 0.749 0.528 0.233
O: 0.840 0.055 0.563
O: 0.942 0.456 0.905
O: 0.943 0.637 0.425
O: 0.947 0.195 0.759
O: 0.953 0.214 0.116

* Fermi-level density of states: 0.93 states/eV/f.u.
* total DFT energy (no corrections): -7.072 eV/atom
* raw formation energy: -1951.1 meV per atom



Among the records above, which one has the lowest raw formation energy?
Li3Ni2P5O16



What is the formula in the first record?
Li2NiP3O10



total DFT energy (no corrections) of number 8 (LiNi4P3O12)?
-6.942 eV/atom